Record 1
Crystalline CoSnTePt2 at its relaxed geometry. Source: Alexandria, functional PBE-GGA.

Cell lengths 4.9365, 5.7794, 4.9365 Å; angles 90.00, 90.00, 90.00 degrees
Site moments in Bohr magnetons follow the coordinates.
Sites, in units of the cell vectors:
Pt: 0.5000 0.0000 0.0000  0.06
Pt: 0.0000 0.0000 0.5000  0.04
Te: 0.0000 0.0000 0.0000  0.01
Sn: 0.0000 0.5000 0.0000  -0.03
Co: 0.5000 0.5000 0.5000  2.19

Properties
space-group type = No. 123
raw formation energy = 1.25 eV/atom


Record 2
Crystalline Sc4ZnPt7 at its relaxed geometry. Source: Alexandria, functional PBE-GGA.

Cell lengths 4.8373, 8.7147, 6.0269 Å; angles 80.80, 66.34, 73.89 degrees
Sites, in units of the cell vectors:
Pt: 0.7889 0.9021 0.5202
Pt: 0.0780 0.6939 0.1501
Pt: 0.2111 0.0979 0.4798
Pt: 0.9220 0.3061 0.8499
Pt: 0.3663 0.5305 0.7368
Pt: 0.5000 0.0000 0.0000
Pt: 0.6337 0.4695 0.2632
Sc: 0.4100 0.7786 0.4014
Sc: 0.5900 0.2214 0.5986
Sc: 0.2452 0.3426 0.1670
Sc: 0.7548 0.6574 0.8330
Zn: 0.0000 0.0000 0.0000

Properties
space-group type = No. 12


Record 3
Crystalline BeRhPb at its relaxed geometry. Source: Alexandria, functional PBE-GGA.

Cell lengths 4.1502, 4.1502, 4.1502 Å; angles 60.00, 60.00, 60.00 degrees
Sites, in units of the cell vectors:
Pb: 0.0000 0.0000 0.0000
Be: 0.7500 0.7500 0.7500
Rh: 0.5000 0.5000 0.5000

Properties
space-group type = No. 216
energy above the most stable polymorph in this dataset = 0.199 eV per atom


Record 4
Crystalline Y5ErAl3 at its relaxed geometry. Source: Alexandria, functional PBE-GGA.

Cell lengths 6.6438, 9.0892, 9.0892 Å; angles 120.00, 90.00, 90.00 degrees
Sites, in units of the cell vectors:
Y: 0.5000 0.3333 0.6666
Y: 0.2500 0.3314 0.3313
Y: 0.2500 0.0000 0.6687
Y: 0.0000 0.3333 0.6666
Y: 0.7500 0.0000 0.3313
Y: 0.7500 0.6686 0.6687
Y: 0.2500 0.6686 0.0000
Y: 0.0000 0.6667 0.3334
Y: 0.5000 0.6667 0.3334
Y: 0.7500 0.3314 0.0000
Al: 0.7500 0.6657 0.0000
Al: 0.2500 0.6657 0.6657
Al: 0.2500 0.3343 0.0000
Al: 0.7500 0.0000 0.6657
Al: 0.7500 0.3343 0.3343
Al: 0.2500 0.0000 0.3343
Er: 0.0000 0.0000 0.0000
Er: 0.5000 0.0000 0.0000

Properties
space-group type = No. 193


Record 5
Crystalline MgCr2MoRh at its relaxed geometry. Source: Alexandria, functional PBE-GGA.

Cell lengths 4.8313, 4.6940, 4.8313 Å; angles 90.00, 90.00, 90.00 degrees
Site moments in Bohr magnetons follow the coordinates.
Sites, in units of the cell vectors:
Rh: 0.0000 0.0000 0.0000  -0.02
Mo: 0.0000 0.5000 0.0000  -1.69
Mg: 0.5000 0.5000 0.5000  0.00
Cr: 0.5000 0.0000 0.0000  3.53
Cr: 0.0000 0.0000 0.5000  3.41

Properties
space-group type = No. 123


Record 6
Crystalline VCdRe2 at its relaxed geometry. Source: Alexandria, functional PBE-GGA.

Cell lengths 3.8981, 3.8981, 9.7993 Å; angles 78.53, 78.53, 90.00 degrees
Site moments in Bohr magnetons follow the coordinates.
Sites, in units of the cell vectors:
Re: 0.8750 0.8118 0.7500  -0.06
Re: 0.3750 0.4382 0.7500  -0.06
Re: 0.1882 0.6250 0.2500  -0.06
Re: 0.5618 0.1250 0.2500  -0.06
V: 0.5000 0.5000 0.0000  0.74
V: 0.2500 0.7500 0.5000  0.74
Cd: 0.7500 0.2500 0.5000  0.00
Cd: 0.0000 0.0000 0.0000  0.00

Properties
space-group type = No. 122


Record 7
Crystalline TcRuSe2 at its relaxed geometry. Source: Alexandria, functional PBE-GGA.

Cell lengths 2.9850, 2.9850, 8.3135 Å; angles 90.00, 90.00, 90.00 degrees
Sites, in units of the cell vectors:
Se: 0.0000 0.0000 0.9132
Se: 0.5000 0.5000 0.3359
Ru: 0.5000 0.5000 0.7467
Tc: 0.0000 0.0000 0.5042

Properties
space-group type = No. 99
raw formation energy = -0.08 eV/atom
energy above the most stable polymorph in this dataset = 0.000 eV per atom


Record 8
Crystalline CrCdNi3 at its relaxed geometry. Source: Alexandria, functional PBE-GGA.

Cell lengths 4.2971, 4.2971, 4.2971 Å; angles 90.00, 90.00, 90.00 degrees
Sites, in units of the cell vectors:
Ni: 0.5000 0.0000 0.0000
Ni: 0.0000 0.5000 0.0000
Ni: 0.0000 0.0000 0.5000
Cd: 0.5000 0.5000 0.5000
Cr: 0.0000 0.0000 0.0000

Properties
space-group type = No. 221
energy above the most stable polymorph in this dataset = 0.000 eV per atom


Record 9
Crystalline EuTlH at its relaxed geometry. Source: Alexandria, functional PBE-GGA.

Cell lengths 3.8618, 6.1137, 5.8696 Å; angles 90.00, 90.00, 90.00 degrees
Site moments in Bohr magnetons follow the coordinates.
Sites, in units of the cell vectors:
H: 0.0000 0.2500 0.0755  -0.01
H: 0.0000 0.7500 0.9245  -0.01
Eu: 0.5000 0.7500 0.7261  6.86
Eu: 0.5000 0.2500 0.2739  6.86
Tl: 0.0000 0.2500 0.7314  0.01
Tl: 0.0000 0.7500 0.2686  0.01

Properties
space-group type = No. 51
energy above the most stable polymorph in this dataset = 0.030 eV per atom


Record 10
Crystalline YCdTe at its relaxed geometry. Source: Alexandria, functional PBE-GGA.

Cell lengths 4.8281, 4.8281, 10.1939 Å; angles 76.30, 76.30, 60.00 degrees
Sites, in units of the cell vectors:
Cd: 0.8295 0.8295 0.5114
Cd: 0.1705 0.1705 0.4886
Te: 0.2754 0.2754 0.1738
Te: 0.7246 0.7246 0.8262
Y: 0.5641 0.5641 0.3077
Y: 0.4359 0.4359 0.6923

Properties
space-group type = No. 166
raw formation energy = -0.80 eV/atom
energy above the most stable polymorph in this dataset = 0.000 eV per atom


Record 11
Crystalline Nd2Ga4Pd3Pt at its relaxed geometry. Source: Alexandria, functional PBE-GGA.

Cell lengths 4.3857, 4.3857, 10.1119 Å; angles 90.00, 90.00, 90.00 degrees
Sites, in units of the cell vectors:
Ga: 0.0000 0.0000 0.0000
Ga: 0.5000 0.0000 0.6279
Ga: 0.0000 0.5000 0.3721
Ga: 0.5000 0.5000 0.0000
Nd: 0.5000 0.0000 0.2498
Nd: 0.0000 0.5000 0.7502
Pd: 0.0000 0.0000 0.5000
Pd: 0.0000 0.5000 0.1279
Pd: 0.5000 0.0000 0.8721
Pt: 0.5000 0.5000 0.5000

Properties
space-group type = No. 115


Record 12
Crystalline LaZn3Pt3 at its relaxed geometry. Source: Alexandria, functional PBE-GGA.

Cell lengths 6.8392, 6.8392, 6.8392 Å; angles 90.00, 90.00, 90.00 degrees
Sites, in units of the cell vectors:
Pt: 0.5000 0.7500 0.0000
Pt: 0.5000 0.2500 0.0000
Pt: 0.7500 0.0000 0.5000
Pt: 0.0000 0.5000 0.7500
Pt: 0.2500 0.0000 0.5000
Pt: 0.0000 0.5000 0.2500
Zn: 0.0000 0.2500 0.5000
Zn: 0.5000 0.0000 0.2500
Zn: 0.2500 0.5000 0.0000
Zn: 0.0000 0.7500 0.5000
Zn: 0.7500 0.5000 0.0000
Zn: 0.5000 0.0000 0.7500
La: 0.5000 0.5000 0.5000
La: 0.0000 0.0000 0.0000

Properties
space-group type = No. 223


Summary of DFT total energy in Ha/atom
-0.148, -0.243, -0.176, -0.207, -0.244, -0.286, -0.247, -0.171, -0.204, -0.158, -0.190, -0.150
(order as listed above)
Summary of D(E_F) in states/eV per cell
10.0, 5.6, 2.0, 18.6, 7.6, 7.9, 3.2, 5.9, 15.2, 1.6, 7.7, 4.5
(order as listed above)
Summary of magnetic moment in μB per atom
0.46, 0.00, 0.00, 0.00, 1.15, 0.17, 0.00, 0.00, 2.38, 0.00, 0.00, 0.00
(order as listed above)